[1]
Entry from the Alexandria database: a relaxed MgIn2Au crystal (GGA-PBE).

Structure (POSCAR):
```
MgIn2Au
1.0
9.112 0.000 0.000
0.000 3.491 0.000
-1.222 0.000 5.748
Mg In Au
2 4 2
Cartesian
0.000 0.000 0.000
4.556 1.746 0.000
-0.477 1.746 3.243
2.035 1.746 1.575
4.078 0.000 3.243
6.591 0.000 1.575
1.414 0.000 4.775
5.970 1.746 4.775
```

- calculated total energy (eV for the cell shown) = -22.054
- total moment (Bohr magnetons per cell) = 0.0
- ΔE_f (eV/atom) = -0.1695

[2]
Entry from the Alexandria database: a relaxed Mg4InAu crystal (GGA-PBE).

Structure (POSCAR):
```
Mg4InAu
1.0
0.000 4.036 4.036
4.036 0.000 4.036
4.036 4.036 0.000
Mg In Au
4 1 1
Cartesian
1.006 1.006 1.006
3.030 3.030 1.006
3.030 1.006 3.030
1.006 3.030 3.030
4.036 4.036 4.036
6.054 6.054 6.054
```

- offset from the most stable computed form (eV per atom) = 0.229
- calculated total energy (eV for the cell shown) = -12.357
- total moment (Bohr magnetons per cell) = 0.0
- ΔE_f (eV/atom) = 0.0062

[3]
Entry from the Alexandria database: a relaxed MgIn2Au6 crystal (GGA-PBE).

Structure (POSCAR):
```
MgIn2Au6
1.0
2.548 -7.562 0.000
2.548 7.562 0.000
-2.489 0.000 4.458
Mg In Au
1 2 6
Cartesian
0.000 0.000 0.000
1.304 5.129 2.229
1.304 -5.129 2.229
1.264 2.513 0.736
0.054 0.000 2.996
1.264 -2.513 0.736
1.343 2.513 3.722
2.554 0.000 1.462
1.343 -2.513 3.722
```

- calculated total energy (eV for the cell shown) = -28.964
- total moment (Bohr magnetons per cell) = 0.0
- ΔE_f (eV/atom) = -0.2476

[4]
Entry from the Alexandria database: a relaxed Mg2InAu2 crystal (GGA-PBE).

Structure (POSCAR):
```
Mg2InAu2
1.0
8.154 0.000 0.000
0.000 8.154 0.000
0.000 0.000 3.050
Mg In Au
4 2 4
Cartesian
1.108 2.969 0.000
2.969 7.046 0.000
5.185 1.108 0.000
7.046 5.185 0.000
0.000 0.000 0.000
4.077 4.077 0.000
1.283 5.360 1.525
2.794 1.283 1.525
5.360 6.871 1.525
6.871 2.794 1.525
```

- offset from the most stable computed form (eV per atom) = 0.103
- calculated total energy (eV for the cell shown) = -28.616
- total moment (Bohr magnetons per cell) = 0.0
- ΔE_f (eV/atom) = -0.3651

[5]
Entry from the Alexandria database: a relaxed Mg6InAu2 crystal (GGA-PBE).

Structure (POSCAR):
```
Mg6InAu2
1.0
-4.346 4.390 5.140
4.346 -4.390 5.140
4.346 4.390 -5.140
Mg In Au
12 2 4
Cartesian
4.346 -2.655 3.491
2.585 0.000 2.573
6.107 0.000 2.573
2.691 2.621 0.000
6.001 2.621 0.000
0.000 1.735 1.650
4.346 2.655 3.491
-1.655 1.769 5.140
1.655 1.769 5.140
-1.761 4.390 2.567
1.761 4.390 2.567
0.000 7.046 1.650
4.346 0.000 0.000
0.000 4.390 0.000
1.540 0.000 0.000
7.152 0.000 0.000
0.000 0.000 3.701
0.000 0.000 6.580
```

- calculated total energy (eV for the cell shown) = -43.597
- total moment (Bohr magnetons per cell) = 0.0
- ΔE_f (eV/atom) = -0.3264

[6]
Entry from the Alexandria database: a relaxed Mg2InAu2 crystal (GGA-PBE).

Structure (POSCAR):
```
Mg2InAu2
1.0
7.698 0.000 0.000
0.000 7.698 0.000
0.000 0.000 3.373
Mg In Au
4 2 4
Cartesian
1.210 2.639 0.000
2.639 6.488 0.000
5.059 1.210 0.000
6.488 5.059 0.000
0.000 0.000 1.686
3.849 3.849 1.686
1.068 4.917 1.686
2.781 1.068 1.686
4.917 6.630 1.686
6.630 2.781 1.686
```

- offset from the most stable computed form (eV per atom) = 0.000
- calculated total energy (eV for the cell shown) = -29.642
- total moment (Bohr magnetons per cell) = 0.0
- ΔE_f (eV/atom) = -0.4677

[7]
Entry from the Alexandria database: a relaxed MgIn2Au crystal (GGA-PBE).

Structure (POSCAR):
```
MgIn2Au
1.0
3.745 0.000 0.000
0.000 4.596 0.000
-1.709 0.000 5.471
Mg In Au
1 2 1
Cartesian
0.000 0.000 0.000
0.178 2.298 4.009
1.858 2.298 1.461
-0.855 0.000 2.735
```

- calculated total energy (eV for the cell shown) = -10.889
- total moment (Bohr magnetons per cell) = 0.0
- ΔE_f (eV/atom) = -0.1351

[8]
Entry from the Alexandria database: a relaxed Na2MgInAu6 crystal (GGA-PBE).

Structure (POSCAR):
```
Na2MgInAu6
1.0
0.000 5.188 5.188
5.188 0.000 5.188
5.188 5.188 0.000
Na Mg In Au
2 1 1 6
Cartesian
2.594 2.594 2.594
7.783 7.783 7.783
0.000 0.000 0.000
5.188 5.188 5.188
5.188 5.188 2.529
5.188 2.529 5.188
7.847 5.188 5.188
2.529 5.188 5.188
5.188 7.847 5.188
5.188 5.188 7.847
```

- calculated total energy (eV for the cell shown) = -25.967
- total moment (Bohr magnetons per cell) = 0.0
- ΔE_f (eV/atom) = 0.0669

[9]
Entry from the Alexandria database: a relaxed NaMgIn2Au4 crystal (GGA-PBE).

Structure (POSCAR):
```
NaMgIn2Au4
1.0
2.405 1.389 7.927
-2.405 1.389 7.927
0.000 -2.778 7.927
Na Mg In Au
1 1 2 4
Cartesian
0.000 0.000 0.000
0.000 0.000 11.890
0.000 0.000 6.066
0.000 0.000 17.714
0.000 0.000 3.133
0.000 0.000 9.115
0.000 0.000 14.665
0.000 0.000 20.647
```

- calculated total energy (eV for the cell shown) = -24.235
- total moment (Bohr magnetons per cell) = 0.0
- ΔE_f (eV/atom) = -0.3418

[10]
Entry from the Alexandria database: a relaxed MgNb2InAu crystal (GGA-PBE).

Structure (POSCAR):
```
MgNb2InAu
1.0
4.845 0.000 0.000
0.000 4.845 0.000
0.000 0.000 4.678
Mg Nb In Au
1 2 1 1
Cartesian
0.000 0.000 0.000
0.000 2.423 0.000
2.423 0.000 0.000
2.423 2.423 2.339
0.000 0.000 2.339
```

- calculated total energy (eV for the cell shown) = -21.824
- total moment (Bohr magnetons per cell) = 0.0
- ΔE_f (eV/atom) = 1.1853

[11]
Entry from the Alexandria database: a relaxed NdMg2InAu4 crystal (GGA-PBE).

Structure (POSCAR):
```
NdMg2InAu4
1.0
2.338 1.350 9.008
-2.338 1.350 9.008
0.000 -2.700 9.008
Nd Mg In Au
1 2 1 4
Cartesian
0.000 0.000 0.000
0.000 0.000 6.529
0.000 0.000 20.495
0.000 0.000 13.512
0.000 0.000 3.265
0.000 0.000 10.575
0.000 0.000 16.449
0.000 0.000 23.759
```

- calculated total energy (eV for the cell shown) = -28.321
- total moment (Bohr magnetons per cell) = 0.0
- ΔE_f (eV/atom) = -0.5645

[12]
Entry from the Alexandria database: a relaxed NdMgInAu crystal (GGA-PBE).

Structure (POSCAR):
```
NdMgInAu
1.0
7.243 0.000 0.000
0.000 7.243 0.000
0.000 0.000 7.243
Nd Mg In Au
4 4 4 4
Cartesian
0.000 0.000 0.000
0.000 3.622 3.622
3.622 0.000 3.622
3.622 3.622 0.000
0.000 0.000 3.622
0.000 3.622 0.000
3.622 0.000 0.000
3.622 3.622 3.622
1.811 1.811 5.433
1.811 5.433 1.811
5.433 1.811 1.811
5.433 5.433 5.433
1.811 1.811 1.811
1.811 5.433 5.433
5.433 1.811 5.433
5.433 5.433 1.811
```

- calculated total energy (eV for the cell shown) = -58.252
- total moment (Bohr magnetons per cell) = 0.0
- ΔE_f (eV/atom) = -0.5462

[13]
Entry from the Alexandria database: a relaxed Mg3In3Ni2Au crystal (GGA-PBE).

Structure (POSCAR):
```
Mg3In3Ni2Au
1.0
7.635 0.000 0.000
-3.817 6.612 0.000
0.000 0.000 3.262
Mg In Ni Au
3 3 2 1
Cartesian
-1.090 1.888 0.000
2.180 0.000 0.000
2.727 4.724 0.000
-2.334 4.042 1.631
1.484 2.570 1.631
4.667 0.000 1.631
0.000 4.408 0.000
3.817 2.204 0.000
0.000 0.000 1.631
```

- calculated total energy (eV for the cell shown) = -29.638
- total moment (Bohr magnetons per cell) = 0.0
- ΔE_f (eV/atom) = -0.1999

[14]
Entry from the Alexandria database: a relaxed MgInOs2Au crystal (GGA-PBE).

Structure (POSCAR):
```
MgInOs2Au
1.0
4.878 0.000 0.000
0.000 4.878 0.000
0.000 0.000 4.903
Mg In Os Au
1 1 2 1
Cartesian
0.000 0.000 0.000
0.000 0.000 2.451
0.000 2.439 2.451
2.439 0.000 2.451
2.439 2.439 0.000
```

- calculated total energy (eV for the cell shown) = -19.839
- total moment (Bohr magnetons per cell) = 2.0
- ΔE_f (eV/atom) = 2.0462

[15]
Entry from the Alexandria database: a relaxed Mg5In2PbAu2 crystal (GGA-PBE).

Structure (POSCAR):
```
Mg5In2PbAu2
1.0
11.226 0.000 0.000
0.000 11.226 0.000
0.000 0.000 3.698
Mg In Pb Au
10 4 2 4
Cartesian
0.000 5.613 0.000
0.695 2.379 0.000
2.379 10.531 0.000
3.234 4.918 0.000
4.918 7.993 0.000
5.613 0.000 0.000
6.308 3.234 0.000
7.993 6.308 0.000
8.847 0.695 0.000
10.531 8.847 0.000
1.941 7.554 1.849
3.673 1.941 1.849
7.554 9.286 1.849
9.286 3.673 1.849
0.000 0.000 1.849
5.613 5.613 1.849
1.417 4.196 1.849
4.196 9.809 1.849
7.031 1.417 1.849
9.809 7.031 1.849
```

- calculated total energy (eV for the cell shown) = -52.175
- total moment (Bohr magnetons per cell) = 0.0
- ΔE_f (eV/atom) = -0.2374

[16]
Entry from the Alexandria database: a relaxed Mg2InPbAu4 crystal (GGA-PBE).

Structure (POSCAR):
```
Mg2InPbAu4
1.0
2.338 1.350 8.793
-2.338 1.350 8.793
0.000 -2.700 8.793
Mg In Pb Au
2 1 1 4
Cartesian
0.000 0.000 6.429
0.000 0.000 19.950
0.000 0.000 13.189
0.000 0.000 0.000
0.000 0.000 3.295
0.000 0.000 10.282
0.000 0.000 16.097
0.000 0.000 23.084
```

- calculated total energy (eV for the cell shown) = -25.292
- total moment (Bohr magnetons per cell) = 0.0
- ΔE_f (eV/atom) = -0.3184

[17]
Entry from the Alexandria database: a relaxed Mg5In2Pd2Au crystal (GGA-PBE).

Structure (POSCAR):
```
Mg5In2Pd2Au
1.0
10.621 0.000 0.000
0.000 10.621 0.000
0.000 0.000 3.565
Mg In Pd Au
10 4 4 2
Cartesian
0.000 5.311 0.000
0.703 2.078 0.000
2.078 9.918 0.000
3.233 4.608 0.000
4.608 7.388 0.000
5.311 0.000 0.000
6.013 3.233 0.000
7.388 6.013 0.000
8.543 0.703 0.000
9.918 8.543 0.000
1.813 7.123 1.783
3.498 1.813 1.783
7.123 8.808 1.783
8.808 3.498 1.783
1.404 3.907 1.783
3.907 9.217 1.783
6.714 1.404 1.783
9.217 6.714 1.783
0.000 0.000 1.783
5.311 5.311 1.783
```

- calculated total energy (eV for the cell shown) = -62.651
- total moment (Bohr magnetons per cell) = 0.0
- ΔE_f (eV/atom) = -0.4213

[18]
Entry from the Alexandria database: a relaxed Mg3In3Pd2Au crystal (GGA-PBE).

Structure (POSCAR):
```
Mg3In3Pd2Au
1.0
7.750 0.000 0.000
-3.875 6.712 0.000
0.000 0.000 3.326
Mg In Pd Au
3 3 2 1
Cartesian
-2.781 4.817 0.000
1.094 1.895 0.000
5.562 0.000 0.000
-1.484 2.571 1.663
2.969 0.000 1.663
2.391 4.141 1.663
0.000 4.475 0.000
3.875 2.237 0.000
0.000 0.000 1.663
```

- calculated total energy (eV for the cell shown) = -30.771
- total moment (Bohr magnetons per cell) = 0.0
- ΔE_f (eV/atom) = -0.4566

[19]
Entry from the Alexandria database: a relaxed Mg5In2PdAu2 crystal (GGA-PBE).

Structure (POSCAR):
```
Mg5In2PdAu2
1.0
11.278 0.000 0.000
0.000 11.278 0.000
0.000 0.000 3.259
Mg In Pd Au
10 4 2 4
Cartesian
0.000 5.639 0.000
0.498 2.150 0.000
2.150 10.780 0.000
3.489 5.141 0.000
5.141 7.789 0.000
5.639 0.000 0.000
6.137 3.489 0.000
7.789 6.137 0.000
9.128 0.498 0.000
10.780 9.128 0.000
2.002 7.641 1.630
3.637 2.002 1.630
7.641 9.276 1.630
9.276 3.637 1.630
0.000 0.000 1.630
5.639 5.639 1.630
1.545 4.094 1.630
4.094 9.733 1.630
7.184 1.545 1.630
9.733 7.184 1.630
```

- calculated total energy (eV for the cell shown) = -58.499
- total moment (Bohr magnetons per cell) = 0.0
- ΔE_f (eV/atom) = -0.4052

[20]
Entry from the Alexandria database: a relaxed PmMgInAu crystal (GGA-PBE).

Structure (POSCAR):
```
PmMgInAu
1.0
7.209 0.000 0.000
0.000 7.209 0.000
0.000 0.000 7.209
Pm Mg In Au
4 4 4 4
Cartesian
0.000 0.000 0.000
0.000 3.605 3.605
3.605 0.000 3.605
3.605 3.605 0.000
0.000 0.000 3.605
0.000 3.605 0.000
3.605 0.000 0.000
3.605 3.605 3.605
1.802 1.802 5.407
1.802 5.407 1.802
5.407 1.802 1.802
5.407 5.407 5.407
1.802 1.802 1.802
1.802 5.407 5.407
5.407 1.802 5.407
5.407 5.407 1.802
```

- calculated total energy (eV for the cell shown) = -58.293
- total moment (Bohr magnetons per cell) = 0.0
- ΔE_f (eV/atom) = -0.5530